A plane-wave DFT calculation with PBE-GGA was carried out for an optimized crystal structure of Tb2Tl3Pb3.

Cell and atoms, written as CIF:
```
data_Tb2Tl3Pb3
_chemical_formula_sum 'Tb2 Tl3 Pb3'
_cell_length_a 4.727
_cell_length_b 4.966
_cell_length_c 9.613
_cell_angle_alpha 90.00
_cell_angle_beta 90.00
_cell_angle_gamma 90.00
_space_group_name_H-M_alt 'P m m m'
_space_group_IT_number 47
_space_group_name_Hall '-P 2 2'
loop_
_atom_site_label
_atom_site_fract_x
_atom_site_fract_y
_atom_site_fract_z
_atom_site_occupancy
Tb1 0.000 0.000 0.249 1
Tl1 0.000 0.500 0.000 1
Tl2 0.500 0.500 0.247 1
Pb1 0.000 0.500 0.500 1
Pb2 0.500 0.000 0.000 1
Pb3 0.500 0.000 0.500 1
```

Properties
E_tot ... -3.703 eV/atom
M_tot ... 0.00 μB/cell
E_form ... -26 kJ/mol of atoms


A plane-wave DFT calculation with PBE-GGA was carried out for an optimized crystal structure of Tb2Tl9Pb.

Cell and atoms, written as CIF:
```
data_Tb2Tl9Pb
_chemical_formula_sum 'Tb2 Tl9 Pb1'
_cell_length_a 4.851
_cell_length_b 4.851
_cell_length_c 14.525
_cell_angle_alpha 90.00
_cell_angle_beta 90.00
_cell_angle_gamma 90.00
_space_group_name_H-M_alt 'P 4/m m m'
_space_group_IT_number 123
_space_group_name_Hall '-P 4 2'
loop_
_atom_site_label
_atom_site_fract_x
_atom_site_fract_y
_atom_site_fract_z
_atom_site_occupancy
Tb1 0.000 0.000 0.157 1
Tl1 0.000 0.500 0.000 1
Tl2 0.000 0.500 0.327 1
Tl3 0.500 0.500 0.163 1
Tl4 0.500 0.500 0.500 1
Pb1 0.000 0.000 0.500 1
```

Properties
E_tot ... -2.974 eV/atom
M_tot ... 0.00 μB/cell
E_form ... -11 kJ/mol of atoms


A plane-wave DFT calculation with PBE-GGA was carried out for an optimized crystal structure of Tb3Tl2Pb.

Cell and atoms, written as CIF:
```
data_Tb3Tl2Pb
_chemical_formula_sum 'Tb6 Tl4 Pb2'
_cell_length_a 5.099
_cell_length_b 15.299
_cell_length_c 4.284
_cell_angle_alpha 90.00
_cell_angle_beta 90.00
_cell_angle_gamma 90.00
_space_group_name_H-M_alt 'P m m n'
_space_group_IT_number 59
loop_
_space_group_symop_operation_xyz
'x,y,z'
'-x,-y,-z'
'-x+1/2,-y+1/2,z'
'x+1/2,y+1/2,-z'
'x+1/2,-y,-z'
'-x+1/2,y,z'
'-x,y+1/2,-z'
'x,-y+1/2,z'
loop_
_atom_site_label
_atom_site_fract_x
_atom_site_fract_y
_atom_site_fract_z
_atom_site_occupancy
Tb1 0.250 0.084 0.000 1
Tb2 0.250 0.750 0.001 1
Tl1 0.250 0.580 0.500 1
Pb1 0.250 0.250 0.499 1
```

Properties
E_tot ... -4.110 eV/atom
M_tot ... 0.00 μB/cell
E_form ... -37 kJ/mol of atoms


A plane-wave DFT calculation with PBE-GGA was carried out for an optimized crystal structure of Tb7Tl4Pb.

Cell and atoms, written as CIF:
```
data_Tb7Tl4Pb
_chemical_formula_sum 'Tb14 Tl8 Pb2'
_cell_length_a 14.330
_cell_length_b 5.838
_cell_length_c 11.097
_cell_angle_alpha 90.00
_cell_angle_beta 126.53
_cell_angle_gamma 90.00
_space_group_name_H-M_alt 'C 1 2/m 1'
_space_group_IT_number 12
_space_group_name_Hall '-C 2y'
loop_
_atom_site_label
_atom_site_fract_x
_atom_site_fract_y
_atom_site_fract_z
_atom_site_occupancy
Tb1 0.000 0.000 0.000 1
Tb2 0.069 0.500 0.325 1
Tb3 0.162 0.000 0.590 1
Tb4 0.212 0.500 0.878 1
Tl1 0.065 0.000 0.770 1
Tl2 0.211 0.000 0.339 1
Pb1 0.000 0.500 0.000 1
```

Properties
E_tot ... -3.907 eV/atom
M_tot ... 0.00 μB/cell
E_form ... -10 kJ/mol of atoms